Computed, not measured: an optimized crystal structure of CaLaHg2 at the PBE level of DFT.

Output
Calculated volume (A^3/atom): 27.19
Energy relative to the lowest polymorph listed for this composition (meV/atom): 341.7
Symmetry: F-43m

Cell: 5.3579 5.3579 5.3579 Å, 60.00 60.00 60.00°
Sites, in units of the cell vectors:
Ca 0.0000 0.0000 0.0000
La 0.2500 0.2500 0.2500
Hg 0.5000 0.5000 0.5000
Hg 0.7500 0.7500 0.7500